# BaSbMo2F

BaSbMo2F after structural relaxation (PBE+U, Alexandria).

Its electronic total energy is -22.65 eV/cell. Its total magnetic moment is 9.99 μB/f.u. As for the symmetry: P4/mmm (123). As for the density of states at the Fermi level: 0.9 states/eV/f.u. Its crystal system is tetragonal.

Cell: 5.200 5.200 5.173 Å, 90.00 90.00 90.00°
Sites, in units of the cell vectors:
Ba (0.000, 0.000, 0.000)
Sb (0.500, 0.500, 0.000)
Mo (0.000, 0.500, 0.500)
Mo (0.500, 0.000, 0.500)
F (0.000, 0.000, 0.500)